Here is a relaxed HfRuO3 crystal from Alexandria via LeMat-Bulk. Energies are from PBE.

Values from the calculation:
Raw formation energy = -0.85 eV per atom
VASP energy = -7.6755 eV/atom
DOS at the Fermi energy = 0.497 states/eV per atom
Density = 9477 kg/m³
Volume = 57.39 Å³/cell
Size of the total moment = 0.00 μB/atom

Unit cell a=3.8573 b=3.8573 c=3.8573 alpha=90.00 beta=90.00 gamma=90.00
Closest atoms and distances in Å follow each position.
Space group Pm-3m (No. 221)
One atom of each set of equivalent atoms:
Hf1 0.0000 0.0000 0.0000 [1 per cell]  12 O 2.73
Ru1 0.5000 0.5000 0.5000 [1 per cell]  6 O 1.93
O1 0.0000 0.5000 0.5000 [3 per cell]  2 Ru 1.93